BaMg2Cu | SCAN | single point on PBEsol structure

## Properties
Spin magnetization, μB/f.u.: 0.0
Uncorrected energy, eV/cell: -64.71

Cell lengths 4.740, 4.740, 6.379 Å; angles 68.19, 68.19, 60.00 degrees
Fractional coordinates of all 4 atoms:
Cu  0.680  0.680  0.960
Mg  0.295  0.295  0.115
Mg  0.017  0.017  0.949
Ba  0.493  0.493  0.521

---

CuHgMo2 | SCAN | single point on PBEsol structure

## Properties
Spin magnetization, μB/f.u.: 0.0
Uncorrected energy, eV/cell: -151.49

Cell lengths 2.688, 2.688, 8.563 Å; angles 90.00, 90.00, 90.00 degrees
Fractional coordinates of all 4 atoms:
Mo  0.000  0.000  0.007
Mo  0.500  0.500  0.269
Cu  0.000  0.000  0.489
Hg  0.500  0.500  0.734

---

SrSb | SCAN | single point on PBEsol structure

## Properties
Uncorrected formation energy, eV per atom: -0.261
Spin magnetization, μB/f.u.: 0.0

Cell lengths 4.306, 4.306, 9.661 Å; angles 90.00, 90.00, 120.00 degrees
Fractional coordinates of all 4 atoms:
Sb  0.667  0.333  0.915
Sb  0.333  0.667  0.085
Sr  0.333  0.667  0.684
Sr  0.667  0.333  0.316

---

Cd2BTe | SCAN | single point on PBEsol structure

## Properties
Uncorrected formation energy, eV per atom: 1.049
Spin magnetization, μB/f.u.: 0.0

Cell lengths 4.888, 4.888, 4.888 Å; angles 60.00, 60.00, 60.00 degrees
Fractional coordinates of all 4 atoms:
Cd  0.250  0.250  0.250
Cd  0.750  0.750  0.750
Te  0.500  0.500  0.500
B  0.000  0.000  0.000

---

MnFe2Se | SCAN | single point on PBEsol structure

## Properties
Uncorrected formation energy, eV per atom: 0.018
Spin magnetization, μB/f.u.: 8.8

Cell lengths 3.100, 3.100, 5.167 Å; angles 90.00, 90.00, 90.00 degrees
Fractional coordinates of all 4 atoms:
Fe  0.000  0.000  0.015
Fe  0.500  0.500  0.244
Se  0.500  0.500  0.739
Mn  0.000  0.000  0.502

---

BaAlTeN2 | SCAN | single point on PBEsol structure

## Properties
Uncorrected formation energy, eV per atom: 1.498
Spin magnetization, μB/f.u.: 1.9

Cell lengths 4.446, 4.446, 6.972 Å; angles 90.00, 90.00, 90.00 degrees
Fractional coordinates of all 5 atoms:
N  0.000  0.500  0.000
N  0.500  0.000  0.000
Al  0.500  0.500  0.500
Ba  0.000  0.000  0.000
Te  0.000  0.000  0.500

---

Mn2CoPt | SCAN | single point on PBEsol structure

## Properties
Spin magnetization, μB/f.u.: 1.7
Uncorrected energy, eV/cell: -124.14

Cell lengths 2.577, 2.577, 8.348 Å; angles 81.12, 81.12, 60.00 degrees
Fractional coordinates of all 4 atoms:
Mn  0.001  0.001  0.997
Mn  0.744  0.744  0.769
Pt  0.500  0.500  0.501
Co  0.256  0.256  0.233

---

CrHg2Br | SCAN | single point on PBEsol structure

## Properties
Uncorrected formation energy, eV per atom: -0.177
Spin magnetization, μB/f.u.: 4.5
ΔE to the lowest computed polymorph, meV per atom: 0

Cell lengths 3.569, 3.569, 8.644 Å; angles 78.08, 78.08, 60.00 degrees
Fractional coordinates of all 4 atoms:
Hg  0.743  0.743  0.771
Hg  0.990  0.990  0.029
Br  0.519  0.519  0.444
Cr  0.248  0.248  0.256

---

ZrMoC2 | SCAN | single point on PBEsol structure

## Properties
Spin magnetization, μB/f.u.: 0.0
ΔE to the lowest computed polymorph, meV per atom: 488

Cell lengths 4.825, 4.825, 5.935 Å; angles 113.98, 113.98, 90.00 degrees
Fractional coordinates of all 8 atoms:
C  0.125  0.089  0.750
C  0.911  0.375  0.250
C  0.625  0.661  0.750
C  0.339  0.875  0.250
Mo  0.000  0.000  0.000
Mo  0.250  0.750  0.500
Zr  0.500  0.500  0.000
Zr  0.750  0.250  0.500

---

NdPO4 | SCAN | single point on PBEsol structure

## Properties
Uncorrected formation energy, eV per atom: -3.330
Spin magnetization, μB/f.u.: 0.0

Cell lengths 6.377, 6.740, 6.950 Å; angles 90.00, 90.00, 103.75 degrees
Fractional coordinates of all 24 atoms:
P  0.887  0.197  0.338
P  0.113  0.803  0.662
P  0.613  0.303  0.838
P  0.387  0.697  0.162
O  0.311  0.974  0.604
O  0.811  0.474  0.896
O  0.787  0.377  0.288
O  0.939  0.749  0.503
O  0.061  0.251  0.497
O  0.502  0.618  0.333
O  0.189  0.526  0.104
O  0.439  0.249  0.997
O  0.689  0.026  0.396
O  0.498  0.382  0.667
O  0.561  0.751  0.003
O  0.713  0.123  0.788
O  0.002  0.118  0.167
O  0.213  0.623  0.712
O  0.998  0.882  0.833
O  0.287  0.877  0.212
Nd  0.599  0.782  0.657
Nd  0.099  0.282  0.843
Nd  0.401  0.218  0.343
Nd  0.901  0.718  0.157

---

MoOs2Rh | SCAN | single point on PBEsol structure

## Properties
Spin magnetization, μB/f.u.: 0.0
ΔE to the lowest computed polymorph, meV per atom: 88

Cell lengths 2.703, 2.703, 7.761 Å; angles 90.00, 90.00, 90.00 degrees
Fractional coordinates of all 4 atoms:
Rh  0.000  0.000  0.499
Mo  0.500  0.500  0.744
Os  0.500  0.500  0.245
Os  0.000  0.000  0.012

---

Co2Au3 | SCAN | single point on PBEsol structure

## Properties
Spin magnetization, μB/f.u.: 3.9
Uncorrected energy, eV/cell: -240.97

Cell lengths 2.771, 2.771, 11.101 Å; angles 82.83, 82.83, 60.00 degrees
Fractional coordinates of all 5 atoms:
Co  0.602  0.602  0.194
Co  0.398  0.398  0.806
Au  0.205  0.205  0.386
Au  0.795  0.795  0.614
Au  0.000  0.000  0.000